{
  "formula": "PaAlPt",
  "functional": "GGA-PBE",
  "state": "relaxed",
  "magmom_total_mub_per_cell": 0.0,
  "spacegroup": "No. 216",
  "energy_ev_per_cell": -21.38,
  "cell": [[0.000, 3.260, 3.260], [3.260, 0.000, 3.260], [3.260, 3.260, 0.000]],
  "species": ["Pa", "Al", "Pt"],
  "frac_coords": [[0.000, 0.000, 0.000], [0.500, 0.500, 0.500], [0.750, 0.750, 0.750]]
}